DFT (PBE+U) results for a relaxed structure of CrReAs2O.

a = 4.449 Å, b = 4.684 Å, c = 4.449 Å
α = 90.00°, β = 90.00°, γ = 90.00°
Last column: magnetic moment on the atom in μB.
Fractional coordinates of all 5 atoms:
1 As 0.000 0.000 0.500  0.00
2 As 0.500 0.000 0.000  0.03
3 Cr 0.000 0.000 0.000  -0.46
4 Re 0.000 0.500 0.000  2.21
5 O 0.500 0.500 0.500  -0.21

## Properties
As for the density of states at the Fermi level: 0.90 states/eV per atom. As for the total magnetization: 0.3835 μB/atom. For the density, the calculation gives 7.2 Mg/m³. The calculated volume is 92.7 Å³ per cell. The total energy is -5.11 eV per atom.